[1]
A plane-wave DFT calculation with meta-GGA SCAN was carried out for a PBEsol-optimized structure of CuRuCl2.

abc: 2.9651 2.9651 7.2769
angles: 90.00 90.00 90.00
Site moments in Bohr magnetons follow the coordinates.
Sites, in units of the cell vectors:
Ru1 0.5000 0.5000 0.7474  0.86
Cu1 0.0000 0.0000 0.5088  0.06
Cl1 0.0000 0.0000 0.9221  0.10
Cl2 0.5000 0.5000 0.3216  0.02

Output
ΔE_f (raw) = 0.99 eV per formula unit
Calculated volume = 64 Å³ per cell
Relative energy among the computed polymorphs = 30 meV/atom
Total energy = -64.99 eV/cell



[2]
A plane-wave DFT calculation with meta-GGA SCAN was carried out for a PBEsol-optimized structure of LiSc2Pt.

abc: 3.8736 3.8736 7.5918
angles: 75.22 75.22 60.00
Sites, in units of the cell vectors:
Li1 0.5000 0.5000 0.5000
Pt1 0.0000 0.0000 0.0000
Sc1 0.2719 0.2719 0.1843
Sc2 0.7281 0.7281 0.8157

Output
Calculated volume = 94 Å³ per cell
Relative energy among the computed polymorphs = 353 meV/atom
Formation energy from the elements = -551 meV per atom
Total energy = -103.26 eV/cell



[3]
A plane-wave DFT calculation with meta-GGA SCAN was carried out for a PBEsol-optimized structure of Mg4Zn3.

abc: 5.1303 5.1303 5.5842
angles: 90.00 90.00 120.00
Sites, in units of the cell vectors:
Zn1 0.0000 0.5000 0.0000
Zn2 0.5000 0.0000 0.0000
Zn3 0.5000 0.5000 0.0000
Mg1 0.0000 0.0000 0.7499
Mg2 0.0000 0.0000 0.2501
Mg3 0.3333 0.6667 0.5000
Mg4 0.6667 0.3333 0.5000

Output
Calculated volume = 127 Å³ per cell
Relative energy among the computed polymorphs = 0 meV/atom
Formation energy from the elements = -114 meV per atom
Total energy = -61.24 eV/cell



> Look up the total energy of the second one.

-103.26 eV/cell



> What is the total energy in the first record?

-64.99 eV/cell